La2SClF2 after structural relaxation. Source: the Alexandria database, functional PBE.

Calculated values
* uncorrected formation energy: -2999 meV/atom
* crystal system: trigonal

```
data_La2SClF2
_space_group_name_H-M_alt 'P -3 m 1'
_space_group_IT_number 164
_space_group_name_Hall '-P 3 2"'
_cell_length_a 4.1599
_cell_length_b 4.1599
_cell_length_c 8.1474
_cell_angle_alpha 90.00
_cell_angle_beta 90.00
_cell_angle_gamma 120.00
loop_
_atom_site_label
_atom_site_fract_x
_atom_site_fract_y
_atom_site_fract_z
La1 0.3333 0.6667 0.2230
S1 0.0000 0.0000 0.0000
Cl1 0.0000 0.0000 0.5000
F1 0.3333 0.6667 0.7303
```